Entry 1:
This record from Alexandria via LeMat-Bulk describes a geometry-optimized SrMn3H structure. The functional is PBE.

For the volume, the calculation gives 15.12 Å³ per atom. The calculation puts the density of states at the Fermi level at 3.3 states/eV/f.u. The total energy comes out at -5.8762 eV per atom. Its spin magnetization is 9.8 μB/cell.

Lattice parameters (Å, degrees): 4.2280 4.2280 4.2280 90.00 90.00 90.00
Space group Pm-3m (No. 221)
Symmetry-distinct sites (fractional):
Sr (0.0000, 0.0000, 0.0000) (multiplicity 1)
Mn (0.0000, 0.5000, 0.5000) (multiplicity 3)
H (0.5000, 0.5000, 0.5000) (multiplicity 1)

---

Entry 2:
This record from Alexandria via LeMat-Bulk describes a geometry-optimized Ce2SmTh3N6 structure. The functional is PBE.

For the volume, the calculation gives 16.83 Å³ per atom. The calculation puts the density of states at the Fermi level at 8.4 states/eV/f.u. The total energy comes out at -8.9462 eV per atom. As for the uncorrected formation energy: -1.5463 eV per atom. Its spin magnetization is 0.0 μB/cell.

Lattice parameters (Å, degrees): 6.2836 10.8860 6.2628 90.00 109.49 90.00
Space group C2/m (No. 12)
Symmetry-distinct sites (fractional):
Ce (0.0000, 0.1666, 0.0000) (multiplicity 4)
Sm (0.0000, 0.5000, 0.0000) (multiplicity 2)
Th (0.0000, 0.0000, 0.5000) (multiplicity 2)
Th (0.0000, 0.3334, 0.5000) (multiplicity 4)
N (0.2465, 0.0000, 0.2514) (multiplicity 4)
N (0.2474, 0.1688, 0.7489) (multiplicity 8)

---

Entry 3:
This record from Alexandria via LeMat-Bulk describes a geometry-optimized BiOsIO2 structure. The functional is PBE.

For the volume, the calculation gives 24.75 Å³ per atom. The calculation puts the density of states at the Fermi level at 5.1 states/eV/f.u. The total energy comes out at -4.5292 eV per atom. As for the uncorrected formation energy: 0.7862 eV per atom. Its spin magnetization is 2.5 μB/cell.

Lattice parameters (Å, degrees): 4.1485 4.1485 7.1911 90.00 90.00 90.00
Space group P4/mmm (No. 123)
Symmetry-distinct sites (fractional):
Bi (0.0000, 0.0000, 0.0000) (multiplicity 1)
Os (0.5000, 0.5000, 0.5000) (multiplicity 1)
I (0.0000, 0.0000, 0.5000) (multiplicity 1)
O (0.0000, 0.5000, 0.0000) (multiplicity 2)

---

Entry 4:
This record from Alexandria via LeMat-Bulk describes a geometry-optimized ThSi2 structure. The functional is PBE.

For the volume, the calculation gives 19.08 Å³ per atom. The calculation puts the density of states at the Fermi level at 1.6 states/eV/f.u. The total energy comes out at -6.4012 eV per atom. As for the uncorrected formation energy: -0.3126 eV per atom. Its spin magnetization is 0.0 μB/cell.

Lattice parameters (Å, degrees): 7.7080 7.7080 7.7080 90.00 90.00 90.00
Space group Fd-3m (No. 227, origin choice 2)
Symmetry-distinct sites (fractional):
Th (0.1250, 0.1250, 0.1250) (multiplicity 8)
Si (0.0000, 0.0000, 0.5000) (multiplicity 16)

---

Entry 5:
This record from Alexandria via LeMat-Bulk describes a geometry-optimized SmTm4Al structure. The functional is PBE.

For the volume, the calculation gives 28.37 Å³ per atom. The calculation puts the density of states at the Fermi level at 6.6 states/eV/f.u. The total energy comes out at -4.5133 eV per atom. Its spin magnetization is 0.0 μB/cell. For the energy of formation from the pure elements, the calculation gives -0.122 eV/atom.

Lattice parameters (Å, degrees): 3.5082 3.5082 13.8293 90.00 90.00 90.00
Space group P4/mmm (No. 123)
Symmetry-distinct sites (fractional):
Sm (0.0000, 0.0000, 0.0000) (multiplicity 1)
Tm (0.0000, 0.0000, 0.3649) (multiplicity 2)
Tm (0.5000, 0.5000, 0.1830) (multiplicity 2)
Al (0.5000, 0.5000, 0.5000) (multiplicity 1)

---

Entry 6:
This record from Alexandria via LeMat-Bulk describes a geometry-optimized CeGaRh6 structure. The functional is PBE.

For the volume, the calculation gives 15.54 Å³ per atom. The calculation puts the density of states at the Fermi level at 6.4 states/eV/f.u. The total energy comes out at -7.0740 eV per atom. Its spin magnetization is 0.0 μB/cell. For the energy of formation from the pure elements, the calculation gives -0.440 eV/atom.

Lattice parameters (Å, degrees): 5.6084 5.6084 3.9527 90.00 90.00 90.00
Space group P4/mmm (No. 123)
Symmetry-distinct sites (fractional):
Ce (0.0000, 0.0000, 0.0000) (multiplicity 1)
Ga (0.5000, 0.5000, 0.0000) (multiplicity 1)
Rh (0.0000, 0.5000, 0.0000) (multiplicity 2)
Rh (0.2612, 0.2612, 0.5000) (multiplicity 4)

---

Entry 7:
This record from Alexandria via LeMat-Bulk describes a geometry-optimized CdTcCl2 structure. The functional is PBE.

For the volume, the calculation gives 21.90 Å³ per atom. The calculation puts the density of states at the Fermi level at 1.5 states/eV/f.u. The total energy comes out at -3.7384 eV per atom. As for the uncorrected formation energy: 0.0052 eV per atom. Its spin magnetization is 3.8 μB/cell.

Lattice parameters (Å, degrees): 3.4586 5.5216 9.1747 90.00 90.00 90.00
Space group Cmm2 (No. 35)
Symmetry-distinct sites (fractional):
Cd (0.0000, 0.0000, 0.0000) (multiplicity 2)
Tc (0.0000, 0.5000, 0.2470) (multiplicity 2)
Cl (0.0000, 0.0000, 0.4267) (multiplicity 2)
Cl (0.0000, 0.5000, 0.7980) (multiplicity 2)

---

Entry 8:
This record from Alexandria via LeMat-Bulk describes a geometry-optimized Rb2CaHfB structure. The functional is PBE.

For the volume, the calculation gives 41.81 Å³ per atom. The calculation puts the density of states at the Fermi level at 6.6 states/eV/f.u. The total energy comes out at -2.5807 eV per atom. Its spin magnetization is 1.1 μB/cell. For the energy of formation from the pure elements, the calculation gives 1.533 eV/atom.

Lattice parameters (Å, degrees): 6.2753 6.2753 5.3092 90.00 90.00 90.00
Space group P4/mmm (No. 123)
Symmetry-distinct sites (fractional):
Rb (0.0000, 0.5000, 0.0000) (multiplicity 2)
Ca (0.0000, 0.0000, 0.5000) (multiplicity 1)
Hf (0.5000, 0.5000, 0.5000) (multiplicity 1)
B (0.0000, 0.0000, 0.0000) (multiplicity 1)

---

Entry 9:
This record from Alexandria via LeMat-Bulk describes a geometry-optimized KTlInF3 structure. The functional is PBE.

For the volume, the calculation gives 20.57 Å³ per atom. The total energy comes out at -4.0046 eV per atom. As for the uncorrected formation energy: -2.0353 eV per atom. Its spin magnetization is 0.0 μB/cell.

Lattice parameters (Å, degrees): 12.7513 4.5776 8.5880 90.00 99.94 90.00
Space group C2/m (No. 12)
Symmetry-distinct sites (fractional):
K (0.1505, 0.0000, 0.0137) (multiplicity 4)
Tl (0.1631, 0.0000, 0.6085) (multiplicity 4)
In (0.0465, 0.5000, 0.3225) (multiplicity 4)
F (0.0172, 0.0000, 0.2277) (multiplicity 4)
F (0.1285, 0.5000, 0.7931) (multiplicity 4)
F (0.1735, 0.5000, 0.1583) (multiplicity 4)

---

Entry 10:
This record from Alexandria via LeMat-Bulk describes a geometry-optimized ScTaS3 structure. The functional is PBE.

For the volume, the calculation gives 21.51 Å³ per atom. The calculation puts the density of states at the Fermi level at 5.3 states/eV/f.u. The total energy comes out at -6.7379 eV per atom. As for the uncorrected formation energy: -0.6246 eV per atom. Its spin magnetization is 0.9 μB/cell.

Lattice parameters (Å, degrees): 4.7559 4.7559 4.7559 90.00 90.00 90.00
Space group Pm-3m (No. 221)
Symmetry-distinct sites (fractional):
Sc (0.0000, 0.0000, 0.0000) (multiplicity 1)
Ta (0.5000, 0.5000, 0.5000) (multiplicity 1)
S (0.0000, 0.5000, 0.5000) (multiplicity 3)

---

Entry 11:
This record from Alexandria via LeMat-Bulk describes a geometry-optimized ZrHPd2 structure. The functional is PBE.

For the volume, the calculation gives 15.40 Å³ per atom. The calculation puts the density of states at the Fermi level at 3.8 states/eV/f.u. The total energy comes out at -5.4991 eV per atom. Its spin magnetization is 0.0 μB/cell.

Lattice parameters (Å, degrees): 6.2691 6.2691 6.2691 90.00 90.00 90.00
Space group Fm-3m (No. 225)
Symmetry-distinct sites (fractional):
Zr (0.0000, 0.0000, 0.0000) (multiplicity 4)
H (0.0000, 0.0000, 0.5000) (multiplicity 4)
Pd (0.2500, 0.2500, 0.2500) (multiplicity 8)

---

Entry 12:
This record from Alexandria via LeMat-Bulk describes a geometry-optimized SrFeMo2 structure. The functional is PBE.

For the volume, the calculation gives 18.38 Å³ per atom. The calculation puts the density of states at the Fermi level at 6.0 states/eV/f.u. The total energy comes out at -6.8536 eV per atom. Its spin magnetization is 4.6 μB/cell. For the energy of formation from the pure elements, the calculation gives 1.098 eV/atom.

Lattice parameters (Å, degrees): 5.3861 10.1919 2.6788 90.00 90.00 90.00
Space group Cmmm (No. 65)
Symmetry-distinct sites (fractional):
Sr (0.0000, 0.0000, 0.0000) (multiplicity 2)
Fe (0.0000, 0.5000, 0.0000) (multiplicity 2)
Mo (0.2500, 0.2500, 0.5000) (multiplicity 4)